1.
VASP calculation (PBE) on a relaxed ErHfPO crystal.

Electronic total energy ... -7.7263 eV per atom
Density ... 9.97 g/cm³
Crystal system ... tetragonal
Energy above the most stable polymorph in this dataset ... 484.7 meV per atom

a b c (Å): 4.0556 4.0556 7.9506
angles (deg): 90.00 90.00 90.00
Closest atoms and distances in Å follow each position.
Space group P4/nmm (No. 129, origin choice 2)
Unique sites:
Er1 0.2500 0.7500 0.0000 x2  4 P 2.74, 4 Er 2.87
Hf1 0.2500 0.2500 0.3841 x2  4 O 2.23
P1 0.2500 0.2500 0.7680 x2  4 Er 2.74, 4 O 2.94, 1 Hf 3.05
O1 0.2500 0.7500 0.5000 x2  4 Hf 2.23



2.
VASP calculation (PBE) on a relaxed Ho2Sn3Pb3S12 crystal.

Electronic total energy ... -4.9306 eV per atom
Density ... 6.04 g/cm³
Crystal system ... orthorhombic

a b c (Å): 3.9302 20.3881 11.6081
angles (deg): 90.00 90.00 90.00
Closest atoms and distances in Å follow each position.
Space group Pmc2_1 (No. 26)
Unique sites:
Ho1 0.0000 0.0882 0.0000 x2  8 S 2.82-3.06
Ho2 0.0000 0.3933 0.6787 x2  7 S 2.77-2.83
Sn1 0.5000 0.0721 0.3482 x2  5 S 2.45-2.57
Sn2 0.5000 0.2501 0.8554 x2  6 S 2.54-2.64
Sn3 0.5000 0.4113 0.3713 x2  6 S 2.54-2.63
Pb1 0.0000 0.1210 0.6265 x2  8 S 2.90-3.22
Pb2 0.0000 0.2399 0.2582 x2  8 S 2.97-3.28
Pb3 0.0000 0.4162 0.0556 x2  7 S 2.93-3.26
S1 0.0000 0.0041 0.2956 x2  2 Sn 2.48
S2 0.0000 0.2384 0.0006 x2  2 Sn 2.60
S3 0.0000 0.2566 0.7035 x2  2 Sn 2.64, 1 Ho 2.80, 1 Pb 2.90
S4 0.0000 0.3413 0.4549 x2  2 Sn 2.62, 1 Ho 2.81
S5 0.0000 0.4826 0.2880 x2  2 Sn 2.63, 1 Ho 2.83
S6 0.5000 0.0085 0.5391 x2  1 Sn 2.57, 2 Ho 2.82
S7 0.5000 0.1260 0.8372 x2  1 Sn 2.54, 2 Ho 2.83
S8 0.5000 0.1376 0.1587 x2  1 Sn 2.57, 2 Ho 2.88
S9 0.5000 0.1758 0.4544 x2  1 Sn 2.45
S10 0.5000 0.3417 0.1901 x2  1 Sn 2.54
S11 0.5000 0.3755 0.8437 x2  1 Sn 2.56, 2 Ho 2.77
S12 0.5000 0.4679 0.5670 x2  1 Sn 2.55, 2 Ho 2.80



3.
VASP calculation (PBE) on a relaxed TbNdSn2 crystal.

Electronic total energy ... -4.3004 eV per atom
Density ... 6.82 g/cm³
Crystal system ... orthorhombic

a b c (Å): 3.3644 6.3091 12.3957
angles (deg): 90.00 90.00 90.00
Closest atoms and distances in Å follow each position.
Space group Amm2 (No. 38)
Unique sites:
Tb1 0.0000 0.0000 0.0000 x2  3 Sn 3.01-3.18, 2 Tb 3.36
Nd1 0.0000 0.0000 0.7189 x2  3 Sn 3.08-3.17, 2 Nd 3.36
Sn1 0.0000 0.0000 0.2427 x2  1 Sn 2.82, 1 Tb 3.01
Sn2 0.0000 0.0000 0.4703 x2  1 Sn 2.82, 1 Nd 3.08



4.
VASP calculation (PBE) on a relaxed PrThB crystal.

Electronic total energy ... -6.0992 eV per atom
Density ... 8.86 g/cm³
Crystal system ... cubic

a b c (Å): 6.6022 6.6022 6.6022
angles (deg): 90.00 90.00 90.00
Closest atoms and distances in Å follow each position.
Space group F-43m (No. 216)
Unique sites:
Pr1 0.0000 0.0000 0.0000 x4  4 B 2.86
Th1 0.0000 0.0000 0.5000 x4  4 B 2.86
B1 0.2500 0.2500 0.2500 x4  4 Th 2.86, 4 Pr 2.86



5.
VASP calculation (PBE) on a relaxed Zr2CoAu crystal.

Formation enthalpy at 0 K ... -141.2 meV per atom
Electronic total energy ... -7.0080 eV per atom
Density ... 10.50 g/cm³
Crystal system ... cubic

a b c (Å): 6.5211 6.5211 6.5211
angles (deg): 90.00 90.00 90.00
Closest atoms and distances in Å follow each position.
Space group F-43m (No. 216)
Unique sites:
Zr1 0.0000 0.0000 0.0000 x4  4 Au 2.82, 4 Zr 2.82
Zr2 0.2500 0.2500 0.2500 x4  4 Zr 2.82, 4 Co 2.82
Co1 0.0000 0.0000 0.5000 x4  4 Zr 2.82, 4 Au 2.82
Au1 0.2500 0.2500 0.7500 x4  4 Zr 2.82, 4 Co 2.82



6.
VASP calculation (PBE) on a relaxed TlFeCoS3 crystal.

Electronic total energy ... -5.3775 eV per atom
Density ... 6.16 g/cm³
Crystal system ... monoclinic

a b c (Å): 7.7684 3.3959 9.0902
angles (deg): 90.00 110.95 90.00
Closest atoms and distances in Å follow each position.
Space group P2_1/m (No. 11)
Unique sites:
Tl1 0.0044 0.2500 0.2210 x2  7 S 3.11-3.47, 2 Tl 3.40
Fe1 0.4704 0.2500 0.8855 x2  4 S 2.15-2.18
Co1 0.4650 0.7500 0.6524 x2  6 S 2.26-2.45
S1 0.2664 0.2500 0.6516 x2  1 Fe 2.15, 2 Co 2.29
S2 0.3464 0.2500 0.0660 x2  3 Fe 2.16-2.18
S3 0.3565 0.7500 0.3864 x2  3 Co 2.26-2.30



7.
VASP calculation (PBE) on a relaxed NaZnIr crystal.

Electronic total energy ... -2.6787 eV per atom
Density ... 8.19 g/cm³
Crystal system ... cubic
Energy above the most stable polymorph in this dataset ... 527.2 meV per atom

a b c (Å): 6.1047 6.1047 6.1047
angles (deg): 90.00 90.00 90.00
Closest atoms and distances in Å follow each position.
Space group F-43m (No. 216)
Unique sites:
Na1 0.0000 0.0000 0.0000 x4  4 Zn 2.64, 4 Ir 2.64
Zn1 0.2500 0.2500 0.2500 x4  4 Na 2.64
Ir1 0.2500 0.2500 0.7500 x4  4 Na 2.64



8.
VASP calculation (PBE) on a relaxed Rb2TaAlS6 crystal.

Electronic total energy ... -5.0056 eV per atom
Density ... 4.17 g/cm³
Crystal system ... monoclinic

a b c (Å): 6.8484 6.8516 11.8650
angles (deg): 90.00 125.26 90.00
Closest atoms and distances in Å follow each position.
Space group P2_1/c (No. 14)
Unique sites:
Rb1 0.2501 0.0016 0.2497 x4  12 S 3.40-3.44
Ta1 0.0000 0.0000 0.5000 x2  6 S 2.44
Al1 0.5000 0.0000 0.0000 x2  6 S 2.40
S1 0.2508 0.5018 0.2518 x4  1 Al 2.40, 1 Ta 2.44
S2 0.2522 0.2474 0.0011 x4  1 Al 2.40, 1 Ta 2.44
S3 0.2523 0.7492 0.4994 x4  1 Al 2.40, 1 Ta 2.44



Across the entries above, magnetization takes the values 0.026; 0.000; 0.004; 0.001; 0.000; 0.172; 0.006; 0.002 μB per atom, respectively.